Below is a relaxed SrMn2CdN crystal, with properties calculated at the PBE level.

Calculated values
Electronic total energy (eV for the cell shown): -22.99
Mass density (Mg/m³): 4.5

Unit cell a=5.2019 b=5.2019 c=4.4521 alpha=90.00 beta=90.00 gamma=90.00
Sites, in units of the cell vectors:
Sr: 0.0000 0.0000 0.0000
Mn: 0.0000 0.5000 0.5000
Mn: 0.5000 0.0000 0.5000
Cd: 0.5000 0.5000 0.5000
N: 0.5000 0.5000 0.0000